No. 1
Density functional theory data (PBE-GGA) for crystalline LiPrMg2Hg4 at its relaxed geometry.

Output
total DFT energy (no corrections) = -1.760 eV/atom
size of the total moment = 0.00 μB/cell
calculated formation energy = -2.99 eV/f.u.
space-group type = R-3m, No. 166

```
8
Lattice="-3.737 -2.604 -1.779 0.775 -3.290 -3.534 0.431 -8.139 4.289" Properties=species:S:1:pos:R:3 pbc="T T T"
Mg -0.605 -3.628 -0.139
Hg -0.124 -5.724 1.918
Pr 0.000 0.000 0.000
Li -1.266 -7.017 -0.512
Hg -0.793 -9.073 1.506
Hg -1.738 -4.960 -2.531
Mg -1.926 -10.405 -0.885
Hg -2.407 -8.309 -2.942
```

No. 2
Density functional theory data (PBE-GGA) for crystalline RbHg5I11 at its relaxed geometry.

Output
total DFT energy (no corrections) = -1.554 eV/atom
size of the total moment = 0.00 μB/cell
space-group type = C2/m, No. 12

```
17
Lattice="7.286 0.037 -2.415 -4.453 9.976 -2.335 0.073 -0.413 11.163" Properties=species:S:1:pos:R:3 pbc="T T T"
I 3.240 7.990 2.252
Hg 3.410 3.262 -2.052
I -0.333 1.610 4.161
Hg -0.504 6.338 8.465
Rb 0.000 0.000 0.000
I 2.807 3.483 1.739
Hg -2.190 4.781 4.414
I 0.100 6.117 4.674
Hg -1.848 9.424 4.454
I -1.716 8.589 0.383
I -1.439 4.147 0.864
I 0.960 2.447 8.363
I 4.623 1.011 6.030
I 4.345 5.452 5.550
Hg 4.755 0.175 1.959
I 1.947 7.153 -1.950
I 3.643 0.018 -1.207
```

No. 3
Density functional theory data (PBE-GGA) for crystalline Mg7Te at its relaxed geometry.

Output
total DFT energy (no corrections) = -1.898 eV/atom
size of the total moment = 0.00 μB/cell
space-group type = Fm-3m, No. 225

```
8
Lattice="0.000 4.552 4.552 4.552 0.000 4.552 4.552 4.552 0.000" Properties=species:S:1:pos:R:3 pbc="T T T"
Mg 2.276 2.276 0.000
Mg 2.276 4.552 2.276
Mg 4.552 2.276 2.276
Mg 2.276 2.276 4.552
Mg 2.276 0.000 2.276
Mg 0.000 2.276 2.276
Mg 4.552 4.552 4.552
Te 0.000 0.000 0.000
```

Number 1: calculated volume 181.54 Å³ per cell. Number 2: calculated volume 803.51 Å³ per cell. Number 3: calculated volume 188.69 Å³ per cell.